[1]
Compound: Al2FeTe
Source: the Alexandria database
Functional: PBEsol
Structure: relaxed

Summary:
The symmetry is P4mm (99). The value obtained for the total moment is 0.8 μB per formula unit. For the raw formation energy, the calculation gives 0.10 eV/atom. The value obtained for the uncorrected energy is -5.07 eV per atom.

Cell: 3.008 3.008 7.533 Å, 90.00 90.00 90.00°
Positions (direct):
Al (0.000, 0.000, 0.000)
Al (0.500, 0.500, 0.243)
Fe (0.000, 0.000, 0.434)
Te (0.500, 0.500, 0.633)

[2]
Compound: Li3TiSn
Source: the Alexandria database
Functional: PBEsol
Structure: relaxed

Summary:
As for the formation energy from the elements: 20.7 kcal/mol of atoms. The symmetry is Pm-3m (221). The value obtained for the total moment is 2.7 μB per formula unit. The value obtained for the uncorrected energy is -2.80 eV per atom.

Cell: 4.817 4.817 4.817 Å, 90.00 90.00 90.00°
Positions (direct):
Li (0.000, 0.000, 0.500)
Li (0.000, 0.500, 0.000)
Li (0.500, 0.000, 0.000)
Ti (0.000, 0.000, 0.000)
Sn (0.500, 0.500, 0.500)

[3]
Compound: Cs2TcGeC
Source: the Alexandria database
Functional: PBEsol
Structure: relaxed

Summary:
As for the formation energy from the elements: 30.1 kcal/mol of atoms. The symmetry is P4/mmm (123). The value obtained for the total moment is 1.8 μB per formula unit. The value obtained for the uncorrected energy is -4.24 eV per atom.

Cell: 6.177 6.177 3.808 Å, 90.00 90.00 90.00°
Positions (direct):
Cs (0.000, 0.500, 0.000)
Cs (0.500, 0.000, 0.000)
Tc (0.000, 0.000, 0.000)
Ge (0.500, 0.500, 0.500)
C (0.000, 0.000, 0.500)

[4]
Compound: ErSi2
Source: the Alexandria database
Functional: PBEsol
Structure: relaxed

Summary:
The symmetry is P6/mmm (191). The value obtained for the total moment is 0.0 μB per formula unit. For the raw formation energy, the calculation gives -0.57 eV/atom. The value obtained for the uncorrected energy is -6.05 eV per atom.

Cell: 4.070 4.070 3.779 Å, 90.00 90.00 120.00°
Positions (direct):
Er (0.000, 0.000, 0.000)
Si (0.333, 0.667, 0.500)
Si (0.667, 0.333, 0.500)